[1]
DFT (PBE-GGA) results for an optimized crystal structure of TbYSc2.

POSCAR file:
```
TbYSc2
1.0
3.474 0.000 0.000
0.000 3.474 0.000
0.000 0.000 9.330
Tb Y Sc
1 1 2
direct
0.000 0.000 0.000
0.000 0.000 0.500
0.500 0.500 0.248
0.500 0.500 0.752
```

Calculated values
The offset from the most stable computed form comes out at 0.018 eV per atom. The calculation puts the formation energy at 54.1 meV/atom.

[2]
DFT (PBE-GGA) results for an optimized crystal structure of Pm2PdCl.

POSCAR file:
```
Pm2PdCl
1.0
2.037 1.176 7.645
-2.037 1.176 7.645
0.000 -2.352 7.645
Pm Pd Cl
2 1 1
direct
0.000 0.000 0.000
0.192 0.192 0.192
0.596 0.596 0.596
0.427 0.427 0.427
```

Calculated values
The offset from the most stable computed form comes out at 0.028 eV per atom. The uncorrected formation energy comes out at -1062 meV/atom.

[3]
DFT (PBE-GGA) results for an optimized crystal structure of TeAsIrAu.

POSCAR file:
```
TeAsIrAu
1.0
-1.494 1.689 8.341
1.494 -1.689 8.341
1.494 1.689 -8.341
Te As Ir Au
1 1 1 1
direct
0.000 0.000 0.000
0.795 0.295 0.500
0.368 0.868 0.500
0.644 0.144 0.500
```

Calculated values
The offset from the most stable computed form comes out at 0.119 eV per atom. The uncorrected formation energy comes out at 44 meV/atom.

[4]
DFT (PBE-GGA) results for an optimized crystal structure of LaBi2Ru2.

POSCAR file:
```
LaBi2Ru2
1.0
8.027 0.000 0.000
0.000 8.027 0.000
0.000 0.000 3.482
La Bi Ru
2 4 4
direct
0.000 0.000 0.000
0.500 0.500 0.000
0.158 0.342 0.500
0.342 0.842 0.500
0.658 0.158 0.500
0.842 0.658 0.500
0.130 0.630 0.000
0.370 0.130 0.000
0.630 0.870 0.000
0.870 0.370 0.000
```

Calculated values
The offset from the most stable computed form comes out at 0.137 eV per atom. The calculation puts the formation energy at 72.5 meV/atom.